Entry 1:
# Mn2VCr3 (PBE, relaxed)
# Energy of formation = -0.017 eV/atom
# D(E_F) = 1.1808 states/eV per atom
data_Mn2VCr3
_chemical_formula_sum 'Mn4 V2 Cr6'
_cell_length_a 8.5487
_cell_length_b 3.9990
_cell_length_c 4.9795
_cell_angle_alpha 90.00
_cell_angle_beta 125.48
_cell_angle_gamma 90.00
_space_group_name_H-M_alt 'C 1 m 1'
_space_group_IT_number 8
loop_
_space_group_symop_operation_xyz
'x,y,z'
'x,-y,z'
'x+1/2,y+1/2,z'
'x+1/2,-y+1/2,z'
loop_
_atom_site_label
_atom_site_type_symbol
_atom_site_fract_x
_atom_site_fract_y
_atom_site_fract_z
Mn1 Mn 0.0000 0.0000 0.0000
Mn2 Mn 0.0030 0.0000 0.5034
V1 V 0.1697 0.5000 0.5007
Cr1 Cr 0.1667 0.5000 0.9987
Cr2 Cr 0.3328 0.0000 0.0038
Cr3 Cr 0.3377 0.0000 0.5030

---

Entry 2:
# Mn2V3Cr3 (PBE, relaxed)
# Energy of formation = -0.152 eV/atom
# D(E_F) = 0.5921 states/eV per atom
data_Mn2V3Cr3
_chemical_formula_sum 'Mn2 V3 Cr3'
_cell_length_a 4.0668
_cell_length_b 4.0845
_cell_length_c 5.7524
_cell_angle_alpha 90.00
_cell_angle_beta 90.00
_cell_angle_gamma 90.00
_space_group_name_H-M_alt 'P m m m'
_space_group_IT_number 47
loop_
_space_group_symop_operation_xyz
'x,y,z'
'-x,-y,-z'
'-x,-y,z'
'x,y,-z'
'x,-y,-z'
'-x,y,z'
'-x,y,-z'
'x,-y,z'
loop_
_atom_site_label
_atom_site_type_symbol
_atom_site_fract_x
_atom_site_fract_y
_atom_site_fract_z
Mn1 Mn 0.0000 0.0000 0.2482
V1 V 0.0000 0.5000 0.5000
V2 V 0.5000 0.0000 0.0000
V3 V 0.5000 0.0000 0.5000
Cr1 Cr 0.0000 0.5000 0.0000
Cr2 Cr 0.5000 0.5000 0.2472

---

Entry 3:
# MnVCr4 (PBE, relaxed)
# Energy of formation = 0.830 eV/atom
# Distance to the lowest polymorph of the same formula = 0.696 eV/atom
# D(E_F) = 1.4418 states/eV per atom
data_MnVCr4
_chemical_formula_sum 'Mn1 V1 Cr4'
_cell_length_a 3.8729
_cell_length_b 3.8729
_cell_length_c 5.5499
_cell_angle_alpha 90.00
_cell_angle_beta 90.00
_cell_angle_gamma 90.00
_space_group_name_H-M_alt 'P 4/m m m'
_space_group_IT_number 123
_space_group_name_Hall '-P 4 2'
loop_
_atom_site_label
_atom_site_type_symbol
_atom_site_fract_x
_atom_site_fract_y
_atom_site_fract_z
Mn1 Mn 0.0000 0.0000 0.0000
V1 V 0.5000 0.5000 0.5000
Cr1 Cr 0.0000 0.5000 0.2403

---

Entry 4:
# Mn3V4Cr2 (PBE, relaxed)
# Energy of formation = -0.161 eV/atom
# D(E_F) = 0.5607 states/eV per atom
data_Mn3V4Cr2
_chemical_formula_sum 'Mn3 V4 Cr2'
_cell_length_a 4.0694
_cell_length_b 4.0694
_cell_length_c 7.5055
_cell_angle_alpha 90.00
_cell_angle_beta 90.00
_cell_angle_gamma 120.00
_space_group_name_H-M_alt 'P -3 m 1'
_space_group_IT_number 164
_space_group_name_Hall '-P 3 2"'
loop_
_atom_site_label
_atom_site_type_symbol
_atom_site_fract_x
_atom_site_fract_y
_atom_site_fract_z
Mn1 Mn 0.0000 0.0000 0.0000
Mn2 Mn 0.3333 0.6667 0.5508
V1 V 0.0000 0.0000 0.3314
V2 V 0.3333 0.6667 0.8878
Cr1 Cr 0.3333 0.6667 0.2274

---

Entry 5:
# MnV4Cr (PBE, relaxed)
# Energy of formation = -0.147 eV/atom
# Distance to the lowest polymorph of the same formula = 0.000 eV/atom
# D(E_F) = 0.9767 states/eV per atom
data_MnV4Cr
_chemical_formula_sum 'Mn1 V4 Cr1'
_cell_length_a 2.9079
_cell_length_b 2.9079
_cell_length_c 8.8996
_cell_angle_alpha 90.00
_cell_angle_beta 90.00
_cell_angle_gamma 90.00
_space_group_name_H-M_alt 'P 4/m m m'
_space_group_IT_number 123
_space_group_name_Hall '-P 4 2'
loop_
_atom_site_label
_atom_site_type_symbol
_atom_site_fract_x
_atom_site_fract_y
_atom_site_fract_z
Mn1 Mn 0.0000 0.0000 0.0000
V1 V 0.0000 0.0000 0.3387
V2 V 0.5000 0.5000 0.1594
Cr1 Cr 0.5000 0.5000 0.5000

---

Entry 6:
# Mn2V7Cr2 (PBE, relaxed)
# Energy of formation = 0.224 eV/atom
# D(E_F) = 1.0369 states/eV per atom
data_Mn2V7Cr2
_chemical_formula_sum 'Mn4 V14 Cr4'
_cell_length_a 2.9698
_cell_length_b 12.9339
_cell_length_c 7.6166
_cell_angle_alpha 90.00
_cell_angle_beta 90.00
_cell_angle_gamma 90.00
_space_group_name_H-M_alt 'I m m 2'
_space_group_IT_number 44
loop_
_space_group_symop_operation_xyz
'x,y,z'
'-x,-y,z'
'-x,y,z'
'x,-y,z'
'x+1/2,y+1/2,z+1/2'
'-x+1/2,-y+1/2,z+1/2'
'-x+1/2,y+1/2,z+1/2'
'x+1/2,-y+1/2,z+1/2'
loop_
_atom_site_label
_atom_site_type_symbol
_atom_site_fract_x
_atom_site_fract_y
_atom_site_fract_z
Mn1 Mn 0.0000 0.2194 0.0000
V1 V 0.0000 0.0000 0.0933
V2 V 0.0000 0.1327 0.4741
V3 V 0.0000 0.3212 0.7066
V4 V 0.0000 0.3736 0.3147
Cr1 Cr 0.0000 0.0000 0.6880
Cr2 Cr 0.0000 0.5000 0.8553

---

Entry 7:
# Mn2V2Cr3 (PBE, relaxed)
# Energy of formation = -0.060 eV/atom
# D(E_F) = 0.8354 states/eV per atom
data_Mn2V2Cr3
_chemical_formula_sum 'Mn2 V2 Cr3'
_cell_length_a 2.5052
_cell_length_b 6.2113
_cell_length_c 6.2124
_cell_angle_alpha 117.94
_cell_angle_beta 97.27
_cell_angle_gamma 98.00
_space_group_name_H-M_alt 'P -1'
_space_group_IT_number 2
loop_
_space_group_symop_operation_xyz
'x,y,z'
'-x,-y,-z'
loop_
_atom_site_label
_atom_site_type_symbol
_atom_site_fract_x
_atom_site_fract_y
_atom_site_fract_z
Mn1 Mn 0.0787 0.2887 0.4285
V1 V 0.2156 0.8559 0.2829
Cr1 Cr 0.3568 0.4269 0.1461
Cr2 Cr 0.5000 0.0000 0.0000

---

Entry 8:
# Mn2VCr (PBE, relaxed)
# Energy of formation = -0.096 eV/atom
# Distance to the lowest polymorph of the same formula = 0.006 eV/atom
# D(E_F) = 0.9938 states/eV per atom
data_Mn2VCr
_chemical_formula_sum 'Mn8 V4 Cr4'
_cell_length_a 5.6910
_cell_length_b 5.6910
_cell_length_c 5.6910
_cell_angle_alpha 90.00
_cell_angle_beta 90.00
_cell_angle_gamma 90.00
_space_group_name_H-M_alt 'F m -3 m'
_space_group_IT_number 225
_space_group_name_Hall '-F 4 2 3'
loop_
_atom_site_label
_atom_site_type_symbol
_atom_site_fract_x
_atom_site_fract_y
_atom_site_fract_z
Mn1 Mn 0.2500 0.2500 0.2500
V1 V 0.0000 0.0000 0.0000
Cr1 Cr 0.0000 0.0000 0.5000